Computed, not measured: a relaxed structure of LaGdCdAg at the GGA-PBE level of DFT.

Results
Calculated formation energy = -0.289 eV/atom
Total energy = -5.983 eV per atom

a b c (Å): 7.612 7.612 7.612
angles (deg): 90.00 90.00 90.00
Space group F-43m (No. 216)
Symmetry-distinct sites (fractional):
La: 0.000 0.000 0.000
Gd: 0.000 0.000 0.500
Cd: 0.250 0.250 0.750
Ag: 0.250 0.250 0.250